Density functional theory data (SCAN) for a crystal of Bi2Te2I relaxed with PBEsol.

a b c (Å): 8.9592 8.9592 3.8832
angles (deg): 90.00 90.00 90.00
Space group P4/mbm (No. 127)
One atom of each set of equivalent atoms:
Bi  0.1423  0.3577  0.0000
Te  0.1468  0.6468  0.5000
I  0.0000  0.0000  0.5000

Values from the calculation:
- formation energy without anion corrections (eV per atom) = 0.13
- D(E_F) (states/eV per cell) = 5.09